Compound: MoOs2Pt
Source: Alexandria
Functional: GGA-PBE
Structure: optimized geometry

a = 2.740 Å, b = 3.946 Å, c = 5.540 Å
α = 90.00°, β = 90.00°, γ = 90.00°
Fractional positions:
Mo1 0.000 0.000 0.000
Os1 0.500 0.500 0.244
Os2 0.500 0.500 0.756
Pt1 0.000 0.000 0.500

Output
E above lowest polymorph = 135 meV per atom
ΔH_f (0 K) = 71 meV/atom
D(E_F) = 5.1 states/eV per cell
Space-group type = Pmmm